Compound: Pu2BiI
Source: Alexandria via LeMat-Bulk
Functional: PBE
Structure: relaxed

```
4
Lattice="4.621 0.000 0.000 2.311 4.002 0.000 2.311 1.334 7.072" Properties=species:S:1:pos:R:3 pbc="T T T"
I 4.621 2.668 3.536
Bi 0.000 0.000 0.000
Pu 6.932 4.002 5.325
Pu 2.311 1.334 1.747
```

Values from the calculation:
Energy relative to the elements, uncorrected   -0.492 eV/atom
DOS(E_F)   23.424 states/eV/f.u.
Excess energy over the best structure of this formula in the dataset   0.008 eV per atom
V   32.70 A^3/atom